(1)
First-principles (GGA-PBE) data for crystalline K2TaFe at its relaxed geometry, as listed in Alexandria.

Lattice parameters (Å, degrees): 2.884 5.570 6.122 90.00 90.00 90.00
Positions (direct):
K (0.000, 0.247, 0.000)
K (0.000, 0.753, 0.000)
Ta (0.500, 0.500, 0.500)
Fe (0.500, 0.000, 0.500)

Results
Spin magnetization, μB per cell: 1.0
Symmetry: Pmmm, No. 47
ΔH_f (0 K), eV/atom: 1.48

(2)
First-principles (GGA-PBE) data for crystalline KTaFe2 at its relaxed geometry, as listed in Alexandria.

Lattice parameters (Å, degrees): 9.601 9.601 9.601 18.23 18.23 18.23
Positions (direct):
K (0.000, 0.000, 0.000)
Ta (0.500, 0.500, 0.500)
Fe (0.232, 0.232, 0.232)
Fe (0.768, 0.768, 0.768)

Results
Spin magnetization, μB per cell: 3.3
Symmetry: R-3m, No. 166
ΔH_f (0 K), eV/atom: 0.80

(3)
First-principles (GGA-PBE) data for crystalline KTa2Fe at its relaxed geometry, as listed in Alexandria.

Lattice parameters (Å, degrees): 2.862 3.710 8.747 90.00 97.65 90.00
Positions (direct):
K (0.000, 0.000, 0.000)
Ta (0.454, 0.500, 0.642)
Ta (0.546, 0.500, 0.358)
Fe (0.000, 0.000, 0.500)

Results
Spin magnetization, μB per cell: 0.0
Symmetry: P2/m, No. 10
ΔH_f (0 K), eV/atom: 0.72

(4)
First-principles (GGA-PBE) data for crystalline KTaFe2 at its relaxed geometry, as listed in Alexandria.

Lattice parameters (Å, degrees): 5.152 5.152 2.702 90.00 90.00 90.00
Positions (direct):
K (0.000, 0.000, 0.000)
Ta (0.500, 0.500, 0.000)
Fe (0.000, 0.500, 0.500)
Fe (0.500, 0.000, 0.500)

Results
Spin magnetization, μB per cell: 4.5
Symmetry: P4/mmm, No. 123
ΔH_f (0 K), eV/atom: 1.13

(5)
First-principles (GGA-PBE) data for crystalline KTa2Fe at its relaxed geometry, as listed in Alexandria.

Lattice parameters (Å, degrees): 5.919 5.919 2.703 90.00 90.00 123.25
Positions (direct):
K (0.000, 0.000, 0.000)
Ta (0.000, 0.500, 0.500)
Ta (0.500, 0.000, 0.500)
Fe (0.500, 0.500, 0.000)

Results
Spin magnetization, μB per cell: 2.1
Symmetry: Cmmm, No. 65
ΔH_f (0 K), eV/atom: 1.40

(6)
First-principles (GGA-PBE) data for crystalline K2TaFe at its relaxed geometry, as listed in Alexandria.

Lattice parameters (Å, degrees): 6.903 6.903 2.882 100.81 100.81 130.58
Positions (direct):
K (0.000, 0.500, 0.000)
K (0.500, 0.000, 0.000)
Ta (0.000, 0.000, 0.500)
Fe (0.500, 0.500, 0.500)

Results
Spin magnetization, μB per cell: 1.6
Symmetry: C2/m, No. 12
ΔH_f (0 K), eV/atom: 1.39